Below is a geometry-optimized AlBiAu4 structure, with properties calculated at the PBE level.

Unit cell a=3.997 b=3.997 c=9.115 alpha=100.11 beta=100.11 gamma=66.40
Fractional coordinates of all 6 atoms:
Al: 0.000 0.000 0.000
Bi: 0.500 0.500 0.500
Au: 0.089 0.089 0.302
Au: 0.317 0.317 0.877
Au: 0.683 0.683 0.123
Au: 0.911 0.911 0.698

Results
Raw total energy = -3.585 eV per atom
E above lowest polymorph = 0 meV per atom

***

Below is a geometry-optimized AlBi2Au2 structure, with properties calculated at the PBE level.

Unit cell a=8.077 b=8.077 c=3.920 alpha=90.00 beta=90.00 gamma=90.00
Fractional coordinates of all 10 atoms:
Al: 0.000 0.000 0.000
Al: 0.500 0.500 0.000
Bi: 0.183 0.317 0.000
Bi: 0.317 0.817 0.000
Bi: 0.683 0.183 0.000
Bi: 0.817 0.683 0.000
Au: 0.123 0.623 0.500
Au: 0.377 0.123 0.500
Au: 0.623 0.877 0.500
Au: 0.877 0.377 0.500

Results
Raw total energy = -3.416 eV per atom
E above lowest polymorph = 199 meV per atom

***

Below is a geometry-optimized Al2BiAu2 structure, with properties calculated at the PBE level.

Unit cell a=6.213 b=6.213 c=6.213 alpha=138.31 beta=138.31 gamma=60.42
Fractional coordinates of all 5 atoms:
Al: 0.119 0.119 0.000
Al: 0.881 0.881 0.000
Bi: 0.500 0.500 0.000
Au: 0.250 0.750 0.500
Au: 0.750 0.250 0.500

Results
Raw total energy = -3.698 eV per atom
E above lowest polymorph = 133 meV per atom

***

Below is a geometry-optimized AlBi3Au structure, with properties calculated at the PBE level.

Unit cell a=5.606 b=5.606 c=5.606 alpha=90.00 beta=90.00 gamma=90.00
Fractional coordinates of all 5 atoms:
Al: 0.000 0.000 0.000
Bi: 0.000 0.500 0.500
Bi: 0.500 0.000 0.500
Bi: 0.500 0.500 0.000
Au: 0.500 0.500 0.500

Results
Raw total energy = -3.094 eV per atom
E above lowest polymorph = 0 meV per atom

***

Below is a geometry-optimized Al2Bi2Au structure, with properties calculated at the PBE level.

Unit cell a=8.496 b=8.496 c=8.496 alpha=153.15 beta=153.15 gamma=38.33
Fractional coordinates of all 5 atoms:
Al: 0.250 0.750 0.500
Al: 0.750 0.250 0.500
Bi: 0.110 0.110 0.000
Bi: 0.890 0.890 0.000
Au: 0.500 0.500 0.000

Results
Raw total energy = -3.493 eV per atom
E above lowest polymorph = 164 meV per atom

***

Below is a geometry-optimized AlBiAu6 structure, with properties calculated at the PBE level.

Unit cell a=3.982 b=3.982 c=10.474 alpha=90.00 beta=90.00 gamma=90.00
Fractional coordinates of all 8 atoms:
Al: 0.000 0.000 0.000
Bi: 0.000 0.000 0.500
Au: 0.000 0.500 0.166
Au: 0.000 0.500 0.834
Au: 0.500 0.000 0.166
Au: 0.500 0.000 0.834
Au: 0.500 0.500 0.368
Au: 0.500 0.500 0.632

Results
Raw total energy = -3.513 eV per atom

***

Below is a geometry-optimized AlBi2Au structure, with properties calculated at the PBE level.

Unit cell a=7.872 b=7.872 c=7.872 alpha=131.17 beta=131.17 gamma=71.54
Fractional coordinates of all 8 atoms:
Al: 0.000 0.000 0.000
Al: 0.750 0.250 0.500
Bi: 0.127 0.625 0.002
Bi: 0.375 0.377 0.502
Bi: 0.623 0.125 0.998
Bi: 0.875 0.873 0.498
Au: 0.250 0.750 0.500
Au: 0.500 0.500 0.000

Results
Raw total energy = -3.502 eV per atom

***

Below is a geometry-optimized Al2BiAu2 structure, with properties calculated at the PBE level.

Unit cell a=7.937 b=7.937 c=3.178 alpha=90.00 beta=90.00 gamma=90.00
Fractional coordinates of all 10 atoms:
Al: 0.153 0.347 0.000
Al: 0.347 0.847 0.000
Al: 0.653 0.153 0.000
Al: 0.847 0.653 0.000
Bi: 0.000 0.000 0.500
Bi: 0.500 0.500 0.500
Au: 0.137 0.637 0.500
Au: 0.363 0.137 0.500
Au: 0.637 0.863 0.500
Au: 0.863 0.363 0.500

Results
Raw total energy = -3.699 eV per atom
E above lowest polymorph = 132 meV per atom

***

Below is a geometry-optimized Al2BiAu5 structure, with properties calculated at the PBE level.

Unit cell a=7.604 b=7.604 c=3.870 alpha=104.04 beta=104.04 gamma=47.98
Fractional coordinates of all 8 atoms:
Al: 0.208 0.208 0.195
Al: 0.792 0.792 0.805
Bi: 0.500 0.500 0.000
Au: 0.000 0.000 0.000
Au: 0.108 0.614 0.370
Au: 0.386 0.892 0.630
Au: 0.614 0.108 0.370
Au: 0.892 0.386 0.630

Results
Raw total energy = -3.664 eV per atom

***

Below is a geometry-optimized Al2BiAu2 structure, with properties calculated at the PBE level.

Unit cell a=7.923 b=7.923 c=3.229 alpha=90.00 beta=90.00 gamma=90.00
Fractional coordinates of all 10 atoms:
Al: 0.148 0.352 0.000
Al: 0.352 0.852 0.000
Al: 0.648 0.148 0.000
Al: 0.852 0.648 0.000
Bi: 0.000 0.000 0.000
Bi: 0.500 0.500 0.000
Au: 0.139 0.639 0.500
Au: 0.361 0.139 0.500
Au: 0.639 0.861 0.500
Au: 0.861 0.361 0.500

Results
Raw total energy = -3.640 eV per atom
E above lowest polymorph = 191 meV per atom

***

Below is a geometry-optimized AlBi2Au structure, with properties calculated at the PBE level.

Unit cell a=11.048 b=11.048 c=11.048 alpha=17.51 beta=17.51 gamma=17.51
Fractional coordinates of all 4 atoms:
Al: 0.000 0.000 0.000
Bi: 0.092 0.092 0.092
Bi: 0.908 0.908 0.908
Au: 0.500 0.500 0.500

Results
Raw total energy = -3.405 eV per atom

***

Below is a geometry-optimized Al2Bi2Au structure, with properties calculated at the PBE level.

Unit cell a=6.752 b=6.752 c=5.249 alpha=90.00 beta=90.00 gamma=90.00
Fractional coordinates of all 10 atoms:
Al: 0.140 0.360 0.000
Al: 0.360 0.860 0.000
Al: 0.640 0.140 0.000
Al: 0.860 0.640 0.000
Bi: 0.179 0.679 0.500
Bi: 0.321 0.179 0.500
Bi: 0.679 0.821 0.500
Bi: 0.821 0.321 0.500
Au: 0.000 0.000 0.000
Au: 0.500 0.500 0.000

Results
Raw total energy = -3.657 eV per atom
E above lowest polymorph = 0 meV per atom

***

Number 1: formation energy from the elements -0.130 eV per atom. Number 2: formation energy from the elements 0.196 eV per atom. Number 3: formation energy from the elements -0.114 eV per atom. Number 4: formation energy from the elements 0.639 eV per atom. Number 5: formation energy from the elements 0.212 eV per atom. Number 6: formation energy from the elements -0.102 eV per atom. Number 7: formation energy from the elements 0.194 eV per atom. Number 8: formation energy from the elements -0.115 eV per atom. Number 9: formation energy from the elements -0.195 eV per atom. Number 10: formation energy from the elements -0.056 eV per atom. Number 11: formation energy from the elements 0.291 eV per atom. Number 12: formation energy from the elements 0.048 eV per atom.